Density functional theory data (PBE) for a relaxed In6SnBiPb2 crystal.

Calculated values
The electronic total energy is -3.093 eV/atom. The calculated density comes out at 8.0 g/cm³.

Unit cell a=6.898 b=10.014 c=8.932 alpha=90.00 beta=75.46 gamma=90.00
Atoms (fractional coordinates):
In: 0.700 0.748 0.090
In: 0.800 0.248 0.410
Pb: 0.042 0.096 0.680
In: 0.135 0.857 0.930
In: 0.635 0.643 0.430
Sn: 0.500 0.000 0.000
In: 0.243 0.655 0.211
Sn: 0.000 0.500 0.500
Pb: 0.958 0.904 0.320
In: 0.743 0.845 0.711
In: 0.300 0.252 0.910
Pb: 0.458 0.596 0.820
Bi: 0.000 0.500 0.000
Bi: 0.500 0.000 0.500
In: 0.200 0.752 0.590
In: 0.865 0.143 0.070
In: 0.757 0.345 0.789
In: 0.257 0.155 0.289
In: 0.365 0.357 0.570
Pb: 0.542 0.404 0.180